(1)
Density functional theory data (PBE) for crystalline ZnCu3Pd at its relaxed geometry.

Structure (extended XYZ):
```
5
Lattice="4.9852 0.0000 0.0000 -2.4797 4.3480 0.0000 -0.0123 -2.8693 4.1404" Properties=species:S:1:pos:R:3 pbc="T T T"
Zn 0.0000 0.0000 0.0000
Cu -1.2399 2.1740 0.0000
Cu 2.4926 0.0000 0.0000
Cu 1.2528 2.1740 0.0000
Pd 2.4865 -1.4346 2.0702
```

Output
Calculated total energy, eV per atom: -3.45
DOS at the Fermi energy, states/eV per cell: 1.56
ΔE_f, meV per atom: 298
Excess energy over the best structure of this formula in the dataset, eV per atom: 0.437


(2)
Density functional theory data (PBE) for crystalline Zn6Cu2Pd at its relaxed geometry.

Structure (extended XYZ):
```
9
Lattice="7.3223 0.0000 0.0000 -3.6612 6.3413 0.0000 0.0000 0.0000 2.7489" Properties=species:S:1:pos:R:3 pbc="T T T"
Zn -1.3519 2.3416 0.0000
Zn -2.5353 4.3913 1.3745
Zn 1.1259 1.9501 1.3745
Zn 2.7039 0.0000 0.0000
Zn 2.3092 3.9997 0.0000
Zn 5.0706 0.0000 1.3745
Cu 0.0000 4.2276 1.3745
Cu 3.6612 2.1138 1.3745
Pd 0.0000 0.0000 0.0000
```

Output
Calculated total energy, eV per atom: -2.48
DOS at the Fermi energy, states/eV per cell: 2.87
ΔE_f, meV per atom: -143


(3)
Density functional theory data (PBE) for crystalline Zn4Cu3Pd at its relaxed geometry.

Structure (extended XYZ):
```
16
Lattice="8.7286 0.0000 0.0000 0.0000 5.4856 0.0000 0.0000 0.0000 4.5055" Properties=species:S:1:pos:R:3 pbc="T T T"
Zn 0.0000 1.3477 0.0000
Zn 0.0000 4.1379 0.0000
Zn 2.1822 1.3480 1.7210
Zn 2.1822 4.1376 1.7210
Zn 4.3643 1.3477 0.0000
Zn 4.3643 4.1379 0.0000
Zn 6.5465 1.3480 2.7845
Zn 6.5465 4.1376 2.7845
Cu 0.0000 0.0000 2.2527
Cu 2.1822 0.0000 3.9308
Cu 2.1822 2.7428 3.9857
Cu 4.3643 0.0000 2.2527
Cu 6.5465 0.0000 0.5747
Cu 6.5465 2.7428 0.5198
Pd 0.0000 2.7428 2.2527
Pd 4.3643 2.7428 2.2527
```

Output
Calculated total energy, eV per atom: -3.02
DOS at the Fermi energy, states/eV per cell: 4.65
ΔE_f, meV per atom: -197
Excess energy over the best structure of this formula in the dataset, eV per atom: 0.006


(4)
Density functional theory data (PBE) for crystalline Zn12Cu5Pd2 at its relaxed geometry.

Structure (extended XYZ):
```
19
Lattice="6.1730 -3.7348 0.0000 6.1730 3.7348 0.0000 -0.3636 0.0000 5.8874" Properties=species:S:1:pos:R:3 pbc="T T T"
Zn 0.5007 0.0000 1.4850
Zn 3.4777 1.7373 4.6966
Zn 4.7499 2.0770 2.3536
Zn 7.2324 2.0770 3.5337
Zn 4.3471 0.0000 0.7856
Zn 8.5046 1.7373 1.1908
Zn 3.4777 -1.7373 4.6966
Zn 7.6352 0.0000 5.1017
Zn 4.7499 -2.0770 2.3536
Zn 7.2324 -2.0770 3.5337
Zn 8.5046 -1.7373 1.1908
Zn 11.4817 0.0000 4.4023
Cu 1.6805 0.0000 5.3678
Cu 2.9458 0.0000 2.8870
Cu 5.9912 0.0000 2.9437
Cu 9.0365 0.0000 3.0003
Cu 10.3018 0.0000 0.5195
Pd 6.1730 1.6452 0.0000
Pd 6.1730 -1.6452 0.0000
```

Output
Calculated total energy, eV per atom: -2.55
DOS at the Fermi energy, states/eV per cell: 3.57
ΔE_f, meV per atom: -117


(5)
Density functional theory data (PBE) for crystalline Zn5Cu4Pd at its relaxed geometry.

Structure (extended XYZ):
```
10
Lattice="2.9942 0.0000 0.0000 0.0000 2.9942 0.0000 0.0000 0.0000 14.8839" Properties=species:S:1:pos:R:3 pbc="T T T"
Zn 0.0000 0.0000 0.0000
Zn 0.0000 0.0000 2.9121
Zn 0.0000 0.0000 5.8424
Zn 0.0000 0.0000 9.0415
Zn 0.0000 0.0000 11.9718
Cu 1.4971 1.4971 1.4536
Cu 1.4971 1.4971 4.3704
Cu 1.4971 1.4971 10.5135
Cu 1.4971 1.4971 13.4303
Pd 1.4971 1.4971 7.4419
```

Output
Calculated total energy, eV per atom: -2.97
DOS at the Fermi energy, states/eV per cell: 3.81
ΔE_f, meV per atom: -175
Excess energy over the best structure of this formula in the dataset, eV per atom: 0.000


(6)
Density functional theory data (PBE) for crystalline ZnCu3Pd6 at its relaxed geometry.

Structure (extended XYZ):
```
20
Lattice="4.1739 -7.5590 0.0000 4.1739 7.5590 0.0000 0.0000 0.0000 4.7260" Properties=species:S:1:pos:R:3 pbc="T T T"
Zn 4.1739 4.2234 2.3630
Zn 4.1739 -4.2234 0.0000
Cu 1.2721 1.5162 3.4675
Cu 1.2721 -1.5162 1.1045
Cu 4.1739 1.6125 2.5901
Cu 4.1739 -1.6125 0.2271
Cu 7.0757 1.5162 3.4675
Cu 7.0757 -1.5162 1.1045
Pd 1.9956 3.0314 1.5756
Pd 4.1739 6.6665 3.4828
Pd 2.7820 0.6118 0.5906
Pd 4.1739 2.9246 0.0167
Pd 2.7820 -0.6118 2.9536
Pd 1.9956 -3.0314 3.9386
Pd 6.3523 3.0314 1.5756
Pd 5.5658 0.6118 0.5906
Pd 4.1739 -2.9246 2.3797
Pd 5.5658 -0.6118 2.9536
Pd 4.1739 -6.6665 1.1198
Pd 6.3523 -3.0314 3.9386
```

Output
Calculated total energy, eV per atom: -4.50
DOS at the Fermi energy, states/eV per cell: 14.05
ΔE_f, meV per atom: -31
Excess energy over the best structure of this formula in the dataset, eV per atom: 0.155